BaBe: optimized geometry, PBE-GGA. Values from VASP.

Quantum ESPRESSO input file:
```
&SYSTEM
  ibrav = 0, nat = 8, ntyp = 2
/
ATOMIC_SPECIES
Ba 137.33 Ba.upf
Be 9.01 Be.upf
CELL_PARAMETERS angstrom
-6.008 -2.767 -1.416
1.501 -5.282 3.951
-2.548 2.991 4.967
ATOMIC_POSITIONS crystal
Ba 0.689 0.689 0.000
Ba 0.189 0.811 0.500
Ba 0.811 0.189 0.500
Ba 0.311 0.311 0.000
Be 0.892 0.108 0.000
Be 0.392 0.392 0.500
Be 0.608 0.608 0.500
Be 0.108 0.892 0.000
```

- magnetization (μB/f.u.) = 0.0
- final energy (eV/atom) = -2.15
- space-group type = P4_2/mnm
- formation energy (meV per atom) = 671
- DOS at the Fermi energy (states/eV/cell) = 9.60